A plane-wave DFT calculation with PBE was carried out for a geometry-optimized ScInSb2 structure.

The structure in POSCAR format:
```
ScInSb2
1.0
4.885 0.000 0.000
0.000 5.154 0.000
0.000 0.000 3.959
In Sb Sc
1 2 1
Direct
0.000 0.500 0.500
0.000 0.000 0.000
0.500 0.500 0.000
0.500 0.000 0.500
```

Results
M_tot, μB per formula unit: 0.000
Space-group type: Pmmm (47)
Volume, Å³/atom: 24.92
Raw formation energy, eV per atom: -0.275

---

A plane-wave DFT calculation with PBE was carried out for a geometry-optimized ScInSb2 structure.

The structure in POSCAR format:
```
ScInSb2
1.0
5.281 0.000 0.000
2.640 4.573 0.000
2.640 1.524 4.312
In Sc Sb
1 1 2
Direct
0.500 0.500 0.500
0.250 0.250 0.250
0.000 0.000 0.000
0.750 0.750 0.750
```

Results
M_tot, μB per formula unit: 0.000
Space-group type: F-43m (216)
Volume, Å³/atom: 26.03
Raw formation energy, eV per atom: -0.032

---

A plane-wave DFT calculation with PBE was carried out for a geometry-optimized ScInSb2 structure.

The structure in POSCAR format:
```
ScInSb2
1.0
3.385 -0.003 0.000
-0.613 3.329 0.000
0.000 0.000 9.407
Sb Sc In
2 1 1
Direct
0.000 0.000 0.034
0.000 0.000 0.466
0.500 0.500 0.250
0.500 0.500 0.750
```

Results
M_tot, μB per formula unit: 0.000
Space-group type: Cmmm (65)
Volume, Å³/atom: 26.50
Raw formation energy, eV per atom: -0.321

---

A plane-wave DFT calculation with PBE was carried out for a geometry-optimized ScIn2Sb structure.

The structure in POSCAR format:
```
ScIn2Sb
1.0
4.236 0.886 0.000
-0.885 4.236 0.000
0.000 0.000 5.231
In Sb Sc
2 1 1
Direct
0.500 0.500 0.000
0.000 0.000 0.000
0.500 0.000 0.500
0.000 0.500 0.500
```

Results
M_tot, μB per formula unit: 0.000
Space-group type: P4/mmm (123)
Volume, Å³/atom: 24.50
Raw formation energy, eV per atom: -0.284

---

A plane-wave DFT calculation with PBE was carried out for a geometry-optimized ScInSb structure.

The structure in POSCAR format:
```
ScInSb
1.0
-0.632 0.769 5.120
-1.118 -4.644 -2.097
2.956 -0.940 0.506
Sc In Sb
1 1 1
Direct
0.333 0.667 0.666
0.000 0.000 0.168
0.667 0.333 0.166
```

Results
M_tot, μB per formula unit: 0.000
Space-group type: P-6m2 (187)
Volume, Å³/atom: 24.69
Raw formation energy, eV per atom: -0.197

---

A plane-wave DFT calculation with PBE was carried out for a geometry-optimized ScInSb2 structure.

The structure in POSCAR format:
```
ScInSb2
1.0
-2.372 -4.168 -1.809
4.676 -0.138 6.104
-1.318 -0.742 3.617
Sb In Sc
2 1 1
Direct
0.000 0.500 0.500
0.000 0.000 0.000
0.500 0.000 0.500
0.500 0.500 0.000
```

Results
M_tot, μB per formula unit: 0.000
Space-group type: C2/m (12)
Volume, Å³/atom: 25.27
Raw formation energy, eV per atom: -0.287

---

A plane-wave DFT calculation with PBE was carried out for a geometry-optimized ScInSb2 structure.

The structure in POSCAR format:
```
ScInSb2
1.0
4.415 0.000 0.000
2.208 3.824 0.000
2.208 1.275 6.754
Sb In Sc
2 1 1
Direct
0.076 0.076 0.773
0.261 0.261 0.216
0.499 0.499 0.504
0.664 0.664 0.007
```

Results
M_tot, μB per formula unit: 0.000
Space-group type: R3m (160)
Volume, Å³/atom: 28.51
Raw formation energy, eV per atom: -0.286

---

A plane-wave DFT calculation with PBE was carried out for a geometry-optimized ScInSb2 structure.

The structure in POSCAR format:
```
ScInSb2
1.0
-1.681 -1.729 -2.300
2.233 -2.234 1.060
-6.123 -2.945 6.689
Sc Sb In
1 2 1
Direct
0.000 0.000 0.503
0.500 0.500 0.288
0.000 0.000 0.973
0.500 0.500 0.735
```

Results
M_tot, μB per formula unit: 0.000
Space-group type: Cmm2 (35)
Volume, Å³/atom: 25.88
Raw formation energy, eV per atom: -0.162

---

A plane-wave DFT calculation with PBE was carried out for a geometry-optimized ScInSb2 structure.

The structure in POSCAR format:
```
ScInSb2
1.0
6.841 0.480 0.027
3.956 5.602 -0.027
-5.381 -3.072 2.939
Sb In Sc
2 1 1
Direct
0.703 0.203 0.500
0.986 0.986 0.000
0.287 0.787 0.500
0.524 0.524 0.000
```

Results
M_tot, μB per formula unit: 0.000
Space-group type: Imm2 (44)
Volume, Å³/atom: 26.76
Raw formation energy, eV per atom: -0.311

---

A plane-wave DFT calculation with PBE was carried out for a geometry-optimized ScInSb2 structure.

The structure in POSCAR format:
```
ScInSb2
1.0
-5.619 -1.870 -1.353
-3.751 -4.710 0.804
-1.884 1.587 3.720
Sb In Sc
2 1 1
Direct
0.256 0.256 0.345
0.983 0.983 0.912
0.728 0.728 0.845
0.533 0.533 0.398
```

Results
M_tot, μB per formula unit: 0.000
Space-group type: Cm (8)
Volume, Å³/atom: 25.61
Raw formation energy, eV per atom: -0.372

---

A plane-wave DFT calculation with PBE was carried out for a geometry-optimized ScInSb structure.

The structure in POSCAR format:
```
ScInSb
1.0
5.038 0.000 0.000
2.519 4.363 0.000
2.519 1.454 4.113
Sc Sb In
1 1 1
Direct
0.000 0.000 0.000
0.750 0.750 0.750
0.500 0.500 0.500
```

Results
M_tot, μB per formula unit: 0.013
Space-group type: F-43m (216)
Volume, Å³/atom: 30.14
Raw formation energy, eV per atom: -0.031

---

A plane-wave DFT calculation with PBE was carried out for a geometry-optimized ScInSb2 structure.

The structure in POSCAR format:
```
ScInSb2
1.0
-1.967 -5.110 1.489
0.596 -4.344 3.601
-3.730 1.451 3.998
Sc In Sb
1 1 2
Direct
0.250 0.250 0.250
0.750 0.750 0.750
0.985 0.985 0.031
0.515 0.515 0.469
```

Results
M_tot, μB per formula unit: 0.000
Space-group type: C2/m (12)
Volume, Å³/atom: 25.61
Raw formation energy, eV per atom: -0.210